No. 1
Computed, not measured: crystalline OsRhNF2 at its relaxed geometry at the PBE level of DFT.

Results
For the uncorrected formation energy, the calculation gives 850 meV per atom. As for the energy above the most stable polymorph in this dataset: 0.535 eV/atom. Its symmetry is No. 123.

```
OsRhNF2
1.0
-3.688 -2.332 0.511
0.751 -2.026 -3.825
1.892 -2.608 1.753
Rh N Os F
1 1 1 2
Cartesian
0.000 0.000 0.000 Rh
0.946 -1.304 0.876 N
-0.522 -3.483 -0.781 Os
0.376 -1.013 -1.913 F
-1.844 -1.166 0.255 F
```

No. 2
Computed, not measured: crystalline Hf3PbS at its relaxed geometry at the PBE level of DFT.

Results
For the uncorrected formation energy, the calculation gives -221 meV per atom. As for the energy above the most stable polymorph in this dataset: 0.000 eV/atom. Its symmetry is No. 221.

```
Hf3PbS
1.0
4.810 0.000 0.000
0.000 4.810 0.000
0.000 0.000 4.810
Pb S Hf
1 1 3
Cartesian
2.405 2.405 2.405 Pb
0.000 0.000 0.000 S
0.000 2.405 0.000 Hf
0.000 0.000 2.405 Hf
2.405 0.000 0.000 Hf
```

No. 3
Computed, not measured: crystalline Sm2ScAlPt6 at its relaxed geometry at the PBE level of DFT.

Results
For the formation energy, the calculation gives -931 meV per atom. Its symmetry is No. 166.

```
Sm2ScAlPt6
1.0
8.517 -0.042 1.994
0.024 5.641 0.012
5.725 2.782 6.000
Sm Sc Al Pt
2 1 1 6
Cartesian
5.921 5.606 4.147 Sm
8.345 2.776 3.860 Sm
4.270 2.800 1.003 Sc
0.000 0.000 0.000 Al
7.753 7.007 6.425 Pt
6.525 4.200 1.588 Pt
5.114 2.789 3.588 Pt
6.513 1.374 1.581 Pt
7.741 4.181 6.419 Pt
9.152 5.592 4.418 Pt
```

No. 4
Computed, not measured: crystalline Li5Sn2HgAu2 at its relaxed geometry at the PBE level of DFT.

Results
For the formation energy, the calculation gives -383 meV per atom. Its symmetry is No. 127.

```
Li5Sn2HgAu2
1.0
3.691 0.000 0.000
0.000 10.084 0.000
0.000 0.000 10.084
Li Sn Hg Au
10 4 2 4
Cartesian
1.845 2.007 0.620 Li
1.845 8.078 9.464 Li
1.845 0.620 8.078 Li
1.845 7.049 4.422 Li
1.845 9.464 2.007 Li
1.845 3.035 5.662 Li
1.845 5.662 7.049 Li
1.845 4.422 3.035 Li
1.845 5.042 0.000 Li
1.845 0.000 5.042 Li
0.000 6.720 1.678 Sn
0.000 3.364 8.406 Sn
0.000 1.678 3.364 Sn
0.000 8.406 6.720 Sn
0.000 0.000 0.000 Hg
0.000 5.042 5.042 Hg
0.000 1.337 6.379 Au
0.000 8.748 3.705 Au
0.000 6.379 8.748 Au
0.000 3.705 1.337 Au
```

No. 5
Computed, not measured: crystalline KTaBr6 at its relaxed geometry at the PBE level of DFT.

Results
For the uncorrected formation energy, the calculation gives -1124 meV per atom. Its symmetry is No. 12.

```
KTaBr6
1.0
6.834 -0.837 0.518
-0.321 6.877 0.518
2.443 2.266 7.388
K Ta Br
1 1 6
Cartesian
4.478 4.153 4.212 K
0.000 0.000 0.000 Ta
0.758 5.425 2.305 Br
5.467 0.348 2.305 Br
3.489 7.958 6.120 Br
8.198 2.881 6.120 Br
4.288 3.977 7.661 Br
4.668 4.329 0.764 Br
```

No. 6
Computed, not measured: crystalline Nd3CoSb at its relaxed geometry at the PBE level of DFT.

Results
For the uncorrected formation energy, the calculation gives -457 meV per atom. As for the energy above the most stable polymorph in this dataset: 0.000 eV/atom. Its symmetry is No. 59.

```
Nd3CoSb
1.0
6.827 0.000 0.000
0.000 10.389 -1.479
0.000 -5.667 8.832
Nd Co Sb
12 4 4
Cartesian
6.775 4.141 3.834 Nd
0.052 0.581 3.519 Nd
3.361 2.942 7.196 Nd
3.466 1.780 0.158 Nd
3.467 4.141 3.830 Nd
3.360 0.582 3.524 Nd
0.053 2.943 7.201 Nd
6.774 1.780 0.153 Nd
1.708 5.071 0.638 Nd
5.119 -0.349 6.715 Nd
5.122 7.679 1.560 Nd
1.705 -2.957 5.794 Nd
1.706 2.572 2.243 Co
5.121 2.150 5.111 Co
5.119 -0.211 1.434 Co
1.708 4.934 5.919 Co
5.117 -3.426 6.095 Sb
1.710 8.149 1.258 Sb
1.703 0.121 6.414 Sb
5.124 4.602 0.940 Sb
```

No. 7
Computed, not measured: crystalline TiTc2Ge at its relaxed geometry at the PBE level of DFT.

Results
For the formation energy, the calculation gives -374 meV per atom. Its symmetry is No. 123.

```
TiTc2Ge
1.0
-2.130 1.572 1.748
-2.579 -3.417 -0.070
1.848 -1.468 3.572
Ge Tc Ti
1 2 1
Cartesian
-1.065 0.786 0.874 Ge
0.924 -0.734 1.786 Tc
-1.290 -1.708 -0.035 Tc
-1.431 -1.656 2.625 Ti
```

No. 8
Computed, not measured: crystalline Tl4Hg2Sb3Pb3 at its relaxed geometry at the PBE level of DFT.

Results
For the uncorrected formation energy, the calculation gives 31 meV per atom. Its symmetry is No. 44.

```
Tl4Hg2Sb3Pb3
1.0
-3.561 -1.307 -2.788
3.289 -0.697 -3.875
2.051 -13.095 7.493
Tl Hg Sb Pb
4 2 3 3
Cartesian
2.031 -10.145 0.153 Tl
0.055 -7.403 1.379 Tl
3.474 -7.053 0.822 Tl
-2.052 -5.614 -0.732 Tl
-0.574 -2.659 -0.009 Hg
4.132 -11.787 2.232 Hg
0.741 -0.680 -2.645 Sb
2.161 -9.132 3.478 Sb
1.372 -5.323 -1.274 Sb
-2.653 -0.974 -2.077 Pb
-0.715 -3.710 -3.336 Pb
0.690 -12.051 2.753 Pb
```

No. 9
Computed, not measured: crystalline KCd2InSn at its relaxed geometry at the PBE level of DFT.

Results
For the formation energy, the calculation gives -134 meV per atom. Its symmetry is No. 44.

```
KCd2InSn
1.0
-3.427 -2.414 2.258
-1.080 -2.288 -4.084
6.521 -2.317 2.399
K Cd In Sn
1 2 1 1
Cartesian
3.784 -4.140 1.318 K
-0.060 -3.016 1.705 Cd
0.456 -0.499 0.159 Cd
1.088 -2.924 -1.475 In
0.570 -5.439 0.070 Sn
```

No. 10
Computed, not measured: crystalline AlSiPt at its relaxed geometry at the PBE level of DFT.

Results
For the uncorrected formation energy, the calculation gives -316 meV per atom. Its symmetry is No. 107.

```
AlSiPt
1.0
5.996 0.014 -0.015
5.331 2.746 -0.010
0.666 0.157 2.727
Si Al Pt
1 1 1
Cartesian
7.796 1.898 0.887 Si
11.277 2.748 -0.012 Al
4.246 1.031 1.803 Pt
```

No. 11
Computed, not measured: crystalline MgMn3Si at its relaxed geometry at the PBE level of DFT.

Results
For the uncorrected formation energy, the calculation gives 433 meV per atom. As for the energy above the most stable polymorph in this dataset: 0.000 eV/atom. Its symmetry is No. 221.

```
MgMn3Si
1.0
-1.018 -0.026 4.334
-1.837 -4.030 -0.456
3.926 -1.893 0.911
Si Mn Mg
1 3 1
Cartesian
0.000 0.000 0.000 Si
-0.919 -2.015 -0.228 Mn
1.963 -0.947 0.455 Mn
-0.509 -0.013 2.167 Mn
0.535 -2.975 2.395 Mg
```

No. 12
Computed, not measured: crystalline RbNbIn3 at its relaxed geometry at the PBE level of DFT.

Results
For the formation energy, the calculation gives 239 meV per atom. As for the energy above the most stable polymorph in this dataset: 0.000 eV/atom. Its symmetry is No. 221.

```
RbNbIn3
1.0
-3.780 3.669 -1.716
-4.018 -3.693 0.953
-0.513 1.895 5.180
Nb Rb In
1 1 3
Cartesian
0.000 0.000 0.000 Nb
-4.155 0.935 2.209 Rb
-2.009 -1.847 0.477 In
-0.256 0.947 2.590 In
-1.890 1.834 -0.858 In
```